1.
PrPu2Sc PBE relaxed; calculated density = 9.9 g/cm³; DFT formation energy = 0.208 eV per atom; total magnetic moment = 12.68 μB per formula unit; polymorph energy (0 for the lowest one) = 0.0 meV/atom; space-group type = P4/mmm (123)
1.0
3.371 0.000 0.000
0.000 3.371 0.000
0.000 0.000 9.939
Pr Pu Sc
1 2 1
Cartesian
1.685 1.685 4.970
0.000 0.000 2.308
0.000 0.000 7.631
1.685 1.685 0.000

2.
CaSiBO PBE relaxed; calculated density = 2.5 g/cm³; total magnetic moment = 0.00 μB per formula unit; polymorph energy (0 for the lowest one) = 60.6 meV/atom; raw formation energy = -108 kJ/mol of atoms; space-group type = Pmm2 (25)
1.0
3.153 0.000 0.000
0.000 3.471 0.000
0.000 0.000 5.730
Si Ca O B
1 1 1 1
Cartesian
0.000 0.000 3.460
1.577 0.000 0.419
0.000 1.736 0.928
0.000 1.736 2.335

3.
HfFe2Sn2 PBE relaxed; calculated density = 10.4 g/cm³; DFT formation energy = 0.075 eV per atom; total magnetic moment = 1.80 μB per formula unit; space-group type = P4/mbm (127)
1.0
7.219 0.000 0.000
0.000 7.219 0.000
0.000 0.000 3.246
Fe Sn Hf
4 4 2
Cartesian
4.566 0.957 0.000
0.957 2.652 0.000
6.262 4.566 0.000
2.652 6.262 0.000
4.784 6.045 1.623
6.045 2.435 1.623
2.435 1.174 1.623
1.174 4.784 1.623
0.000 0.000 0.000
3.609 3.609 0.000

4.
PaMnFeSi2 PBE relaxed; calculated density = 8.8 g/cm³; total magnetic moment = 0.76 μB per formula unit; raw formation energy = -58 kJ/mol of atoms; space-group type = I-4m2 (119)
1.0
-0.094 3.784 -1.317
-3.858 -0.440 -0.991
0.718 -0.221 5.411
Si Mn Fe Pa
2 1 1 1
Cartesian
-2.306 2.052 -0.038
-0.929 1.070 3.141
-0.676 2.617 1.470
-2.558 0.505 1.633
0.000 0.000 0.000

5.
ErAsRh3 PBE relaxed; calculated density = 10.5 g/cm³; DFT formation energy = -0.641 eV per atom; total magnetic moment = 0.00 μB per formula unit; space-group type = Imma (74)
1.0
-2.869 -4.331 -1.566
1.503 -3.693 7.456
-2.454 5.581 -1.536
Rh Er As
6 2 2
Cartesian
-2.103 -4.008 0.836
-3.274 -0.715 -1.423
-0.668 -1.843 1.619
-0.546 -1.728 5.778
-1.717 1.565 3.518
-3.152 -0.600 2.735
-1.560 0.762 0.749
-2.261 -3.206 3.606
0.752 -1.846 3.728
-1.435 -2.165 -0.783

6.
BaAs3 PBE relaxed; calculated density = 5.7 g/cm³; DFT formation energy = -0.209 eV per atom; total magnetic moment = 0.00 μB per formula unit; space-group type = Cmmm (65)
1.0
4.040 -0.015 0.000
-0.678 3.982 0.000
0.000 0.000 6.518
As Ba
3 1
Cartesian
0.000 0.000 3.670
0.000 0.000 6.107
1.681 1.983 4.889
1.681 1.983 1.630

7.
CeNbSe2 PBE relaxed; calculated density = 7.1 g/cm³; total magnetic moment = 0.64 μB per formula unit; polymorph energy (0 for the lowest one) = 0.0 meV/atom; raw formation energy = -86 kJ/mol of atoms; space-group type = I-4m2 (119)
1.0
-2.257 2.045 -2.017
-0.507 -2.809 -2.280
-3.934 -1.740 5.946
Se Nb Ce
2 1 1
Cartesian
-3.994 -0.502 -0.057
-5.378 -1.223 4.069
-4.249 -2.076 1.941
-1.844 -2.420 -1.099

8.
Li2CdSnHg PBE relaxed; calculated density = 7.2 g/cm³; DFT formation energy = -0.269 eV per atom; total magnetic moment = 0.00 μB per formula unit; space-group type = P2_1/m (11)
1.0
5.018 0.000 0.000
0.000 5.350 -0.153
0.000 -2.485 7.721
Cd Li Sn Hg
2 4 2 2
Cartesian
3.764 2.195 0.706
1.255 0.671 6.863
1.255 0.514 3.855
1.255 0.509 0.856
3.764 2.357 6.713
3.764 2.352 3.713
3.764 -0.386 5.352
1.255 3.252 2.217
1.255 3.141 5.366
3.764 -0.275 2.202